Entry 1:
Computed, not measured: an optimized crystal structure of BeGaPd4 at the PBE-GGA level of DFT.

Values from the calculation:
energy above the most stable polymorph in this dataset: 0.000 eV/atom
ΔH_f (0 K): -0.526 eV per atom

a b c (Å): 2.9060 6.8722 16.6968
angles (deg): 90.00 90.00 90.00
Closest atoms and distances in Å follow each position.
Atoms (fractional coordinates):
Be (0.2500, 0.2534, 0.9505)  8 Pd 2.35-2.60
Be (0.7500, 0.2466, 0.4505)  8 Pd 2.35-2.60
Pd (0.2500, 0.1424, 0.3483)  2 Be 2.35, 1 Ga 2.60
Pd (0.7500, 0.3743, 0.0520)  3 Be 2.38-2.56
Be (0.2500, 0.7534, 0.5495)  8 Pd 2.35-2.60
Pd (0.7500, 0.4892, 0.5697)  3 Be 2.35-2.60, 1 Ga 2.60
Pd (0.2500, 0.5367, 0.7146)  4 Ga 2.61-2.63, 6 Pd 2.84-2.91
Pd (0.2500, 0.6424, 0.1517)  2 Be 2.35, 1 Ga 2.60
Pd (0.2500, 0.1257, 0.5520)  3 Be 2.38-2.56
Pd (0.7500, 0.9633, 0.2146)  4 Ga 2.61-2.63, 6 Pd 2.84-2.91
Ga (0.2500, 0.2720, 0.1822)  8 Pd 2.60-2.71, 2 Ga 2.91
Pd (0.7500, 0.9892, 0.9303)  3 Be 2.35-2.60, 1 Ga 2.60
Pd (0.2500, 0.0367, 0.7854)  4 Ga 2.61-2.63, 6 Pd 2.84-2.91
Ga (0.7500, 0.7280, 0.8178)  8 Pd 2.60-2.71, 2 Ga 2.91
Ga (0.7500, 0.2280, 0.6822)  8 Pd 2.60-2.71, 2 Ga 2.91
Ga (0.2500, 0.7720, 0.3178)  8 Pd 2.60-2.71, 2 Ga 2.91
Pd (0.2500, 0.0108, 0.0697)  3 Be 2.35-2.60, 1 Ga 2.60
Pd (0.7500, 0.8743, 0.4480)  3 Be 2.38-2.56
Be (0.7500, 0.7466, 0.0495)  8 Pd 2.35-2.60
Pd (0.7500, 0.3576, 0.8483)  2 Be 2.35, 1 Ga 2.60
Pd (0.2500, 0.5108, 0.4303)  3 Be 2.35-2.60, 1 Ga 2.60
Pd (0.7500, 0.4633, 0.2854)  4 Ga 2.61-2.63, 6 Pd 2.84-2.91
Pd (0.7500, 0.8576, 0.6517)  2 Be 2.35, 1 Ga 2.60
Pd (0.2500, 0.6257, 0.9480)  3 Be 2.38-2.56

---

Entry 2:
Computed, not measured: an optimized crystal structure of RbCoAs at the PBE-GGA level of DFT.

Values from the calculation:
ΔH_f (0 K): -0.224 eV per atom

a b c (Å): 4.1993 6.7013 6.7207
angles (deg): 105.58 99.83 99.10
Closest atoms and distances in Å follow each position.
Atoms (fractional coordinates):
As (0.1480, 0.3056, 0.8045)  3 Co 2.24-2.27
Co (0.2998, 0.5963, 0.0961)  3 As 2.24-2.27
Rb (0.4959, 0.1925, 0.3068)  4 Co 3.52-3.77, 6 As 3.76-3.82
Co (0.7002, 0.4037, 0.9039)  3 As 2.24-2.27
Rb (0.5041, 0.8075, 0.6932)  4 Co 3.52-3.77, 6 As 3.76-3.82
As (0.8520, 0.6944, 0.1955)  3 Co 2.24-2.27

---

Entry 3:
Computed, not measured: an optimized crystal structure of Ce2MnGe6Ru at the PBE-GGA level of DFT.

Values from the calculation:
ΔH_f (0 K): -0.366 eV per atom

a b c (Å): 6.4422 7.0570 8.7558
angles (deg): 90.00 90.00 90.00
Closest atoms and distances in Å follow each position.
Atoms (fractional coordinates):
Ge (0.5000, 0.2474, 0.7459)  1 Mn 2.37, 1 Ru 2.45
Ge (0.1910, 0.5753, 0.0000)  1 Ru 2.37, 1 Ge 2.46, 1 Mn 2.56
Ge (0.8090, 0.5753, 0.0000)  1 Ru 2.37, 1 Ge 2.46, 1 Mn 2.56
Ge (0.0000, 0.7526, 0.7541)  1 Mn 2.37, 1 Ru 2.45
Ce (0.0000, 0.2408, 0.7490)  11 Ge 3.19-3.45, 1 Mn 3.29, 1 Ru 3.39
Ge (0.6950, 0.0685, 0.0000)  1 Mn 2.32, 1 Ge 2.51
Mn (0.5000, 0.1061, 0.5000)  6 Ge 2.32-2.56
Mn (0.0000, 0.8939, 0.0000)  6 Ge 2.32-2.56
Ge (0.5000, 0.2474, 0.2541)  1 Mn 2.37, 1 Ru 2.45
Ce (0.5000, 0.7592, 0.2490)  11 Ge 3.19-3.45, 1 Mn 3.29, 1 Ru 3.39
Ru (0.0000, 0.6082, 0.5000)  6 Ge 2.37-2.60
Ge (0.3050, 0.0685, 0.0000)  1 Mn 2.32, 1 Ge 2.51
Ge (0.0000, 0.7526, 0.2459)  1 Mn 2.37, 1 Ru 2.45
Ru (0.5000, 0.3918, 0.0000)  6 Ge 2.37-2.60
Ge (0.6910, 0.4247, 0.5000)  1 Ru 2.37, 1 Ge 2.46, 1 Mn 2.56
Ge (0.1950, 0.9315, 0.5000)  1 Mn 2.32, 1 Ge 2.51
Ce (0.0000, 0.2408, 0.2510)  11 Ge 3.19-3.45, 1 Mn 3.29, 1 Ru 3.39
Ge (0.8050, 0.9315, 0.5000)  1 Mn 2.32, 1 Ge 2.51
Ce (0.5000, 0.7592, 0.7510)  11 Ge 3.19-3.45, 1 Mn 3.29, 1 Ru 3.39
Ge (0.3090, 0.4247, 0.5000)  1 Ru 2.37, 1 Ge 2.46, 1 Mn 2.56

---

Entry 4:
Computed, not measured: an optimized crystal structure of YAgTe2O8 at the PBE-GGA level of DFT.

Values from the calculation:
uncorrected formation energy: -1312 meV per atom

a b c (Å): 5.3298 5.3298 6.8906
angles (deg): 112.75 112.75 90.00
Closest atoms and distances in Å follow each position.
Atoms (fractional coordinates):
Te (0.2500, 0.7500, 0.5000)  4 O 1.87
Ag (0.7500, 0.2500, 0.5000)  8 O 2.48-2.57
O (0.4005, 0.3390, 0.1622)  1 Te 1.86
O (0.5864, 0.6796, 0.6764)  1 Te 1.87
O (0.1768, 0.5995, 0.8378)  1 Te 1.86
O (0.6610, 0.2383, 0.8378)  1 Te 1.86
Y (0.0000, 0.0000, 0.0000)  8 O 2.38-2.45
O (0.0900, 0.9968, 0.6764)  1 Te 1.87
O (0.7617, 0.8232, 0.1622)  1 Te 1.86
O (0.0032, 0.4136, 0.3236)  1 Te 1.87
O (0.3204, 0.9100, 0.3236)  1 Te 1.87
Te (0.5000, 0.5000, 0.0000)  4 O 1.86

---

Entry 5:
Computed, not measured: an optimized crystal structure of Pm2Nd2Y at the PBE-GGA level of DFT.

Values from the calculation:
energy above the most stable polymorph in this dataset: 0.000 eV/atom
ΔH_f (0 K): 0.025 eV per atom

a b c (Å): 6.3831 8.6950 9.7650
angles (deg): 43.71 70.92 68.47
Closest atoms and distances in Å follow each position.
Atoms (fractional coordinates):
Nd (0.1819, 0.7507, 0.0498)  4 Nd 3.62-3.69, 5 Pm 3.63-3.69, 3 Y 3.64-3.69
Pm (0.3834, 0.7475, 0.6515)  2 Y 3.62-3.69, 5 Nd 3.63-3.69, 5 Pm 3.63-3.69
Nd (0.8181, 0.2493, 0.9502)  4 Nd 3.62-3.69, 5 Pm 3.63-3.69, 3 Y 3.64-3.69
Pm (0.2176, 0.2475, 0.1515)  2 Y 3.62-3.69, 5 Nd 3.63-3.69, 5 Pm 3.63-3.69
Nd (0.9825, 0.7493, 0.4502)  4 Nd 3.62-3.69, 5 Pm 3.63-3.69, 3 Y 3.64-3.69
Y (0.4189, 0.2500, 0.7500)  4 Pm 3.62-3.69, 2 Y 3.62, 6 Nd 3.64-3.69
Pm (0.7824, 0.7525, 0.8485)  2 Y 3.62-3.69, 5 Nd 3.63-3.69, 5 Pm 3.63-3.69
Nd (0.0175, 0.2507, 0.5498)  4 Nd 3.62-3.69, 5 Pm 3.63-3.69, 3 Y 3.64-3.69
Pm (0.6166, 0.2525, 0.3485)  2 Y 3.62-3.69, 5 Nd 3.63-3.69, 5 Pm 3.63-3.69
Y (0.5811, 0.7500, 0.2500)  4 Pm 3.62-3.69, 2 Y 3.62, 6 Nd 3.64-3.69

---

Entry 6:
Computed, not measured: an optimized crystal structure of HoEr4Ni4 at the PBE-GGA level of DFT.

Values from the calculation:
ΔH_f (0 K): -0.288 eV per atom

a b c (Å): 5.5403 8.4772 8.4772
angles (deg): 90.00 90.00 90.00
Closest atoms and distances in Å follow each position.
Atoms (fractional coordinates):
Er (0.3990, 0.6828, 0.0860)  5 Ni 2.67-2.93
Ni (0.6134, 0.7747, 0.3669)  1 Ni 2.53, 1 Ho 2.66, 3 Er 2.67-2.77
Ni (0.1134, 0.1331, 0.2747)  1 Ni 2.53, 1 Ho 2.66, 3 Er 2.67-2.77
Ni (0.3866, 0.6331, 0.7747)  1 Ni 2.53, 1 Ho 2.66, 3 Er 2.67-2.77
Er (0.1010, 0.1828, 0.5860)  5 Ni 2.67-2.93
Ni (0.3866, 0.3669, 0.2253)  1 Ni 2.53, 1 Ho 2.66, 3 Er 2.67-2.77
Ho (0.0000, 0.0000, 0.0000)  4 Ni 2.66
Ni (0.8866, 0.2747, 0.8669)  1 Ni 2.53, 1 Ho 2.66, 3 Er 2.67-2.77
Ni (0.8866, 0.7253, 0.1331)  1 Ni 2.53, 1 Ho 2.66, 3 Er 2.67-2.77
Er (0.1010, 0.8172, 0.4140)  5 Ni 2.67-2.93
Ho (0.5000, 0.5000, 0.5000)  4 Ni 2.66
Ni (0.6134, 0.2253, 0.6331)  1 Ni 2.53, 1 Ho 2.66, 3 Er 2.67-2.77
Er (0.8990, 0.4140, 0.1828)  5 Ni 2.67-2.93
Er (0.6010, 0.0860, 0.3172)  5 Ni 2.67-2.93
Er (0.8990, 0.5860, 0.8172)  5 Ni 2.67-2.93
Er (0.6010, 0.9140, 0.6828)  5 Ni 2.67-2.93
Ni (0.1134, 0.8669, 0.7253)  1 Ni 2.53, 1 Ho 2.66, 3 Er 2.67-2.77
Er (0.3990, 0.3172, 0.9140)  5 Ni 2.67-2.93

---

Entry 7:
Computed, not measured: an optimized crystal structure of AcCdBi2 at the PBE-GGA level of DFT.

Values from the calculation:
energy above the most stable polymorph in this dataset: 0.138 eV/atom
ΔH_f (0 K): -0.362 eV per atom

a b c (Å): 4.3795 4.3795 6.8997
angles (deg): 90.00 90.00 90.00
Closest atoms and distances in Å follow each position.
Atoms (fractional coordinates):
Bi (0.0000, 0.0000, 0.7584)  2 Bi 3.33-3.57, 4 Cd 3.52, 4 Ac 3.57
Ac (0.5000, 0.5000, 0.5000)  2 Cd 3.45, 8 Bi 3.57
Bi (0.0000, 0.0000, 0.2416)  2 Bi 3.33-3.57, 4 Cd 3.52, 4 Ac 3.57
Cd (0.5000, 0.5000, 0.0000)  2 Ac 3.45, 8 Bi 3.52

---

Entry 8:
Computed, not measured: an optimized crystal structure of HfTl2CoRu at the PBE-GGA level of DFT.

Values from the calculation:
ΔH_f (0 K): 0.896 eV per atom

a b c (Å): 5.1980 4.8534 5.1980
angles (deg): 90.00 90.00 90.00
Closest atoms and distances in Å follow each position.
Atoms (fractional coordinates):
Tl (0.5000, 0.0000, 0.0000)  2 Ru 2.60
Co (0.5000, 0.5000, 0.5000)  8 Tl 3.56, 4 Hf 3.68
Hf (0.0000, 0.5000, 0.0000)  2 Ru 2.43
Ru (0.0000, 0.0000, 0.0000)  2 Hf 2.43, 4 Tl 2.60
Tl (0.0000, 0.0000, 0.5000)  2 Ru 2.60

---

Entry 9:
Computed, not measured: an optimized crystal structure of Tc3PRh at the PBE-GGA level of DFT.

Values from the calculation:
energy above the most stable polymorph in this dataset: 1.420 eV/atom
ΔH_f (0 K): 2.033 eV per atom

a b c (Å): 4.6492 4.6492 4.6492
angles (deg): 90.00 90.00 90.00
Closest atoms and distances in Å follow each position.
Atoms (fractional coordinates):
Tc (0.0000, 0.5000, 0.0000)  2 Rh 2.32
Tc (0.5000, 0.0000, 0.0000)  2 Rh 2.32
Rh (0.0000, 0.0000, 0.0000)  6 Tc 2.32
Tc (0.0000, 0.0000, 0.5000)  2 Rh 2.32
P (0.5000, 0.5000, 0.5000)  12 Tc 3.29

---

Entry 10:
Computed, not measured: an optimized crystal structure of FeAgSCl2 at the PBE-GGA level of DFT.

Values from the calculation:
energy above the most stable polymorph in this dataset: 0.000 eV/atom
uncorrected formation energy: 24 meV per atom

a b c (Å): 4.8649 4.8649 4.1871
angles (deg): 90.00 90.00 90.00
Closest atoms and distances in Å follow each position.
Atoms (fractional coordinates):
S (0.0000, 0.0000, 0.5000)  2 Fe 2.09
Cl (0.0000, 0.5000, 0.0000)  2 Fe 2.43
Ag (0.5000, 0.5000, 0.5000)  8 Cl 3.21, 4 S 3.44
Fe (0.0000, 0.0000, 0.0000)  2 S 2.09
Cl (0.5000, 0.0000, 0.0000)  2 Fe 2.43

---

Entry 11:
Computed, not measured: an optimized crystal structure of Pt3Br at the PBE-GGA level of DFT.

Values from the calculation:
energy above the most stable polymorph in this dataset: 0.386 eV/atom
uncorrected formation energy: 762 meV per atom

a b c (Å): 4.0936 4.0936 4.0936
angles (deg): 90.00 90.00 90.00
Closest atoms and distances in Å follow each position.
Atoms (fractional coordinates):
Br (0.0000, 0.0000, 0.0000)  12 Pt 2.89
Pt (0.5000, 0.5000, 0.0000)  8 Pt 2.89, 4 Br 2.89
Pt (0.0000, 0.5000, 0.5000)  4 Br 2.89, 8 Pt 2.89
Pt (0.5000, 0.0000, 0.5000)  8 Pt 2.89, 4 Br 2.89

---

Entry 12:
Computed, not measured: an optimized crystal structure of BaSrMn2 at the PBE-GGA level of DFT.

Values from the calculation:
energy above the most stable polymorph in this dataset: 0.558 eV/atom
ΔH_f (0 K): 0.941 eV per atom

a b c (Å): 8.8159 8.8159 7.1185
angles (deg): 51.74 51.74 90.00
Closest atoms and distances in Å follow each position.
Atoms (fractional coordinates):
Mn (0.3750, 0.3784, 0.7500)  2 Sr 3.21, 2 Ba 3.25, 2 Mn 3.44
Sr (0.2500, 0.7500, 0.5000)  4 Mn 3.21, 2 Ba 3.44
Sr (0.5000, 0.5000, 0.0000)  4 Mn 3.21, 2 Ba 3.44
Ba (0.0000, 0.0000, 0.0000)  4 Mn 3.25, 2 Sr 3.44
Mn (0.6216, 0.1250, 0.2500)  2 Sr 3.21, 2 Ba 3.25, 2 Mn 3.44
Mn (0.8750, 0.8716, 0.7500)  2 Sr 3.21, 2 Ba 3.25, 2 Mn 3.44
Ba (0.7500, 0.2500, 0.5000)  4 Mn 3.25, 2 Sr 3.44
Mn (0.1284, 0.6250, 0.2500)  2 Sr 3.21, 2 Ba 3.25, 2 Mn 3.44

---

Number 1: final energy -5.1135 eV per atom, magnetization 0.0 Bohr magnetons per cell. Number 2: final energy -4.4651 eV per atom, magnetization 0.0 Bohr magnetons per cell. Number 3: final energy -6.1678 eV per atom, magnetization 7.1 Bohr magnetons per cell. Number 4: final energy -5.9173 eV per atom, magnetization 0.0 Bohr magnetons per cell. Number 5: final energy -5.0749 eV per atom, magnetization 0.0 Bohr magnetons per cell. Number 6: final energy -5.3936 eV per atom, magnetization 0.0 Bohr magnetons per cell. Number 7: final energy -3.5587 eV per atom, magnetization 0.0 Bohr magnetons per cell. Number 8: final energy -5.3177 eV per atom, magnetization 1.9 Bohr magnetons per cell. Number 9: final energy -6.7394 eV per atom, magnetization 1.7 Bohr magnetons per cell. Number 10: final energy -3.8032 eV per atom, magnetization 0.0 Bohr magnetons per cell. Number 11: final energy -4.1871 eV per atom, magnetization 0.1 Bohr magnetons per cell. Number 12: final energy -4.5448 eV per atom, magnetization 15.0 Bohr magnetons per cell.